No. 1
VASP calculation (PBE) on Be3AlF after structural relaxation.

Cell: 4.418 4.418 4.418 Å, 90.00 90.00 90.00°
Space group Pm-3m (No. 221)
Unique sites:
Be (0.000, 0.000, 0.500)
Al (0.000, 0.000, 0.000)
F (0.500, 0.500, 0.500)


No. 2
VASP calculation (PBE) on CdW3 after structural relaxation.

Values from the calculation:
E_form = 0.555 eV per atom

Cell: 5.7863 5.7863 9.3573 Å, 90.00 90.00 120.00°
Space group P6_3/mmc (No. 194)
Unique sites:
Cd (0.0000, 0.0000, 0.0000)
Cd (0.3333, 0.6667, 0.2500)
W (0.0000, 0.5000, 0.0000)
W (0.1801, 0.3602, 0.7500)


No. 3
VASP calculation (PBE) on KIn2Pd2 after structural relaxation.

Values from the calculation:
E_form = -0.289 eV per atom

Cell: 4.713 4.713 11.156 Å, 90.00 90.00 90.00°
Space group I4/mmm (No. 139)
Unique sites:
K (0.000, 0.000, 0.000)
In (0.000, 0.500, 0.250)
Pd (0.000, 0.000, 0.378)


No. 4
VASP calculation (PBE) on Ba8Mg2In after structural relaxation.

Values from the calculation:
E_form = -0.075 eV per atom

Cell: 21.522 6.250 8.725 Å, 90.00 110.06 90.00°
Space group C2/m (No. 12)
Unique sites:
Ba (0.027, 0.000, 0.295)
Ba (0.094, 0.500, 0.937)
Ba (0.165, 0.500, 0.458)
Ba (0.200, 0.000, 0.800)
Mg (0.181, 0.000, 0.197)
In (0.000, 0.500, 0.500)


No. 5
VASP calculation (PBE) on Cs2TbGaBr6 after structural relaxation.

Cell: 8.183 8.334 14.279 Å, 90.00 124.86 90.00°
Space group P2_1/c (No. 14)
Unique sites:
Cs (0.239, 0.046, 0.250)
Tb (0.500, 0.000, 0.000)
Ga (0.000, 0.000, 0.500)
Br (0.193, 0.198, 0.970)
Br (0.274, 0.724, 0.971)
Br (0.320, 0.007, 0.762)


No. 6
VASP calculation (PBE) on Tb2Pr5Y12 after structural relaxation.

Values from the calculation:
E_form = 0.087 eV per atom

Cell: 6.839 6.864 15.273 Å, 87.99 80.49 65.14°
Space group P-1 (No. 2)
Unique sites:
Tb (0.237, 0.008, 0.031)
Pr (0.076, 0.554, 0.383)
Pr (0.266, 0.501, 0.965)
Pr (0.500, 0.500, 0.500)
Y (0.061, 0.232, 0.827)
Y (0.111, 0.068, 0.421)
Y (0.114, 0.720, 0.758)
Y (0.379, 0.983, 0.616)
Y (0.416, 0.760, 0.242)
Y (0.419, 0.258, 0.183)


No. 7
VASP calculation (PBE) on Nb2ReRh2 after structural relaxation.

Values from the calculation:
E_form = -0.046 eV per atom

Cell: 7.465 7.465 2.927 Å, 90.00 90.00 90.00°
Space group P4/mbm (No. 127)
Unique sites:
Nb (0.173, 0.327, 0.000)
Re (0.000, 0.000, 0.500)
Rh (0.128, 0.628, 0.500)


No. 8
VASP calculation (PBE) on SrLiHg2Pd after structural relaxation.

Values from the calculation:
E_form = -0.317 eV per atom

Cell: 5.328 5.328 4.673 Å, 90.00 90.00 90.00°
Space group P4/mmm (No. 123)
Unique sites:
Sr (0.000, 0.000, 0.000)
Li (0.500, 0.500, 0.000)
Hg (0.000, 0.500, 0.500)
Pd (0.500, 0.500, 0.500)


No. 9
VASP calculation (PBE) on SrMgZr2 after structural relaxation.

Values from the calculation:
E_form = 0.320 eV per atom

Cell: 10.656 3.279 6.473 Å, 90.00 98.57 90.00°
Space group Cm (No. 8)
Unique sites:
Sr (0.000, 0.000, 0.000)
Mg (0.258, 0.500, 0.269)
Zr (0.234, 0.000, 0.666)
Zr (0.499, 0.000, 0.519)


No. 10
VASP calculation (PBE) on GdV2Fe10 after structural relaxation.

Values from the calculation:
E_form = -0.048 eV per atom

Cell: 4.675 8.446 8.517 Å, 90.00 90.00 90.00°
Space group Immm (No. 71)
Unique sites:
Gd (0.000, 0.000, 0.000)
V (0.000, 0.000, 0.359)
Fe (0.000, 0.274, 0.500)
Fe (0.000, 0.359, 0.000)
Fe (0.000, 0.500, 0.271)
Fe (0.250, 0.250, 0.250)


No. 11
VASP calculation (PBE) on CsLiTlB2 after structural relaxation.

Values from the calculation:
E_form = 1.780 eV per atom

Cell: 4.685 4.685 6.766 Å, 90.00 90.00 90.00°
Space group P4/mmm (No. 123)
Unique sites:
Cs (0.000, 0.000, 0.000)
Li (0.500, 0.500, 0.000)
Tl (0.000, 0.000, 0.500)
B (0.000, 0.500, 0.500)


No. 12
VASP calculation (PBE) on Sm2CoGe3Ir4 after structural relaxation.

Values from the calculation:
E_form = -0.670 eV per atom

Cell: 4.185 4.185 10.290 Å, 90.00 90.00 90.00°
Space group P-4m2 (No. 115)
Unique sites:
Sm (0.000, 0.500, 0.247)
Co (0.500, 0.500, 0.000)
Ge (0.000, 0.000, 0.000)
Ge (0.000, 0.500, 0.633)
Ir (0.000, 0.000, 0.500)
Ir (0.000, 0.500, 0.871)
Ir (0.500, 0.500, 0.500)


Number 1: Fermi-level density of states 0.0 states/eV/cell, uncorrected energy -13.43 eV/f.u.. Number 2: Fermi-level density of states 10.4 states/eV/cell, uncorrected energy -37.55 eV/f.u.. Number 3: Fermi-level density of states 5.4 states/eV/cell, uncorrected energy -18.40 eV/f.u.. Number 4: Fermi-level density of states 33.1 states/eV/cell, uncorrected energy -22.13 eV/f.u.. Number 5: Fermi-level density of states 0.0 states/eV/cell, uncorrected energy -35.67 eV/f.u.. Number 6: Fermi-level density of states 32.5 states/eV/cell, uncorrected energy -109.08 eV/f.u.. Number 7: Fermi-level density of states 11.7 states/eV/cell, uncorrected energy -47.52 eV/f.u.. Number 8: Fermi-level density of states 2.6 states/eV/cell, uncorrected energy -10.98 eV/f.u.. Number 9: Fermi-level density of states 7.5 states/eV/cell, uncorrected energy -19.09 eV/f.u.. Number 10: Fermi-level density of states 23.8 states/eV/cell, uncorrected energy -117.57 eV/f.u.. Number 11: Fermi-level density of states 4.8 states/eV/cell, uncorrected energy -9.59 eV/f.u.. Number 12: Fermi-level density of states 6.8 states/eV/cell, uncorrected energy -72.54 eV/f.u..